No. 1
{
  "formula": "AsHF2",
  "functional": "GGA-PBE",
  "state": "optimized geometry",
  "lattice_angstrom": [[-2.314, 2.314, 3.649], [2.314, -2.314, 3.649], [2.314, 2.314, -3.649]],
  "species": ["As", "As", "H", "H", "F", "F", "F", "F"],
  "frac_coords": [[0.000, 0.000, 0.000], [0.750, 0.250, 0.500], [0.250, 0.750, 0.500], [0.500, 0.500, 0.000], [0.324, 0.125, 0.699], [0.375, 0.676, 0.801], [0.426, 0.625, 0.301], [0.875, 0.574, 0.199]],
  "dos_ef_per_ev_atom": 0.161,
  "m_tot_mub_per_atom": 0.000,
  "final_energy_ev_per_atom": -3.57
}

=====

No. 2
{
  "formula": "AsH2F",
  "functional": "GGA-PBE",
  "state": "optimized geometry",
  "lattice_angstrom": [[0.000, 2.556, 2.556], [2.556, 0.000, 2.556], [2.556, 2.556, 0.000]],
  "species": ["As", "H", "H", "F"],
  "frac_coords": [[0.000, 0.000, 0.000], [0.250, 0.250, 0.250], [0.750, 0.750, 0.750], [0.500, 0.500, 0.500]],
  "dos_ef_per_ev_atom": 0.100,
  "e_above_lowest_polymorph_ev_per_atom": 0.942,
  "m_tot_mub_per_atom": 0.000
}

=====

No. 3
{
  "formula": "As2HF8",
  "functional": "GGA-PBE",
  "state": "optimized geometry",
  "lattice_angstrom": [[4.684, -3.703, 0.000], [4.684, 3.703, 0.000], [-0.563, 0.000, 4.914]],
  "species": ["As", "As", "H", "F", "F", "F", "F", "F", "F", "F", "F"],
  "frac_coords": [[0.248, 0.248, 0.004], [0.752, 0.752, 0.996], [0.500, 0.500, 0.500], [0.106, 0.106, 0.731], [0.173, 0.523, 0.864], [0.393, 0.393, 0.363], [0.477, 0.827, 0.136], [0.523, 0.173, 0.864], [0.607, 0.607, 0.637], [0.827, 0.477, 0.136], [0.894, 0.894, 0.269]],
  "dos_ef_per_ev_atom": 0.232,
  "m_tot_mub_per_atom": 0.082,
  "final_energy_ev_per_atom": -4.35
}

=====

No. 4
{
  "formula": "AsH3F9",
  "functional": "GGA-PBE",
  "state": "optimized geometry",
  "lattice_angstrom": [[6.895, -3.409, 0.000], [6.895, 3.409, 0.000], [-5.198, 0.000, 7.923]],
  "species": ["As", "As", "H", "H", "H", "H", "H", "H", "F", "F", "F", "F", "F", "F", "F", "F", "F", "F", "F", "F", "F", "F", "F", "F", "F", "F"],
  "frac_coords": [[0.246, 0.754, 0.500], [0.754, 0.246, 0.000], [0.488, 0.971, 0.155], [0.562, 0.979, 0.393], [0.711, 0.772, 0.002], [0.772, 0.711, 0.502], [0.971, 0.488, 0.655], [0.979, 0.562, 0.893], [0.056, 0.432, 0.758], [0.144, 0.917, 0.680], [0.225, 0.527, 0.482], [0.268, 0.980, 0.517], [0.349, 0.590, 0.320], [0.432, 0.056, 0.258], [0.527, 0.225, 0.982], [0.530, 0.640, 0.631], [0.546, 0.860, 0.003], [0.590, 0.349, 0.820], [0.640, 0.530, 0.131], [0.655, 0.933, 0.504], [0.860, 0.546, 0.503], [0.868, 0.963, 0.870], [0.917, 0.144, 0.180], [0.933, 0.655, 0.004], [0.963, 0.868, 0.370], [0.980, 0.268, 0.017]],
  "dos_ef_per_ev_atom": 0.867,
  "m_tot_mub_per_atom": 0.085,
  "final_energy_ev_per_atom": -4.07
}

=====

No. 5
{
  "formula": "AsH3F",
  "functional": "GGA-PBE",
  "state": "optimized geometry",
  "lattice_angstrom": [[3.443, 0.000, 0.000], [0.000, 3.443, 0.000], [0.000, 0.000, 3.443]],
  "species": ["As", "H", "H", "H", "F"],
  "frac_coords": [[0.000, 0.000, 0.000], [0.000, 0.000, 0.500], [0.000, 0.500, 0.000], [0.500, 0.000, 0.000], [0.500, 0.500, 0.500]],
  "dos_ef_per_ev_atom": 0.139,
  "e_above_lowest_polymorph_ev_per_atom": 0.000,
  "m_tot_mub_per_atom": 0.000
}

=====

No. 6
{
  "formula": "AsH2F6",
  "functional": "GGA-PBE",
  "state": "optimized geometry",
  "lattice_angstrom": [[5.447, -5.460, 0.000], [5.447, 5.460, 0.000], [-1.647, 0.000, 4.160]],
  "species": ["As", "As", "H", "H", "H", "H", "F", "F", "F", "F", "F", "F", "F", "F", "F", "F", "F", "F"],
  "frac_coords": [[0.217, 0.783, 0.750], [0.783, 0.217, 0.250], [0.332, 0.351, 0.593], [0.351, 0.332, 0.093], [0.649, 0.668, 0.907], [0.668, 0.649, 0.407], [0.014, 0.790, 0.850], [0.136, 0.629, 0.350], [0.210, 0.986, 0.650], [0.299, 0.402, 0.795], [0.371, 0.864, 0.150], [0.402, 0.299, 0.295], [0.598, 0.701, 0.705], [0.629, 0.136, 0.850], [0.701, 0.598, 0.205], [0.790, 0.014, 0.350], [0.864, 0.371, 0.650], [0.986, 0.210, 0.150]],
  "dos_ef_per_ev_atom": 0.012,
  "e_above_lowest_polymorph_ev_per_atom": 0.000,
  "m_tot_mub_per_atom": 0.111
}